Entry 1:
Compound: Sm3Si3Ni2
Source: Alexandria via LeMat-Bulk
Functional: GGA-PBE
Structure: relaxed

## Properties
space group = No. 63
uncorrected formation energy = -72 kJ/mol of atoms

Lattice parameters (Å, degrees): 5.703 5.703 14.942 90.00 90.00 138.23
Fractional coordinates of all 16 atoms:
Sm: 0.074 0.926 0.750
Sm: 0.359 0.641 0.594
Sm: 0.359 0.641 0.906
Sm: 0.641 0.359 0.094
Sm: 0.641 0.359 0.406
Sm: 0.926 0.074 0.250
Si: 0.082 0.918 0.554
Si: 0.082 0.918 0.946
Si: 0.218 0.782 0.250
Si: 0.782 0.218 0.750
Si: 0.918 0.082 0.054
Si: 0.918 0.082 0.446
Ni: 0.353 0.647 0.119
Ni: 0.353 0.647 0.381
Ni: 0.647 0.353 0.619
Ni: 0.647 0.353 0.881

Entry 2:
Compound: ZrSc2Ge
Source: Alexandria via LeMat-Bulk
Functional: GGA-PBE
Structure: relaxed

## Properties
E_form = -0.380 eV per atom
space group = No. 123

Lattice parameters (Å, degrees): 4.331 4.331 4.335 90.00 90.00 90.00
Fractional coordinates of all 4 atoms:
Zr: 0.000 0.000 0.000
Sc: 0.000 0.500 0.500
Sc: 0.500 0.000 0.500
Ge: 0.500 0.500 0.000

Entry 3:
Compound: Sm3ErSn3
Source: Alexandria via LeMat-Bulk
Functional: GGA-PBE
Structure: relaxed

## Properties
E_form = -0.422 eV per atom
space group = No. 176

Lattice parameters (Å, degrees): 9.513 9.513 6.222 90.00 90.00 120.00
Fractional coordinates of all 14 atoms:
Sm: 0.027 0.334 0.250
Sm: 0.307 0.973 0.250
Sm: 0.334 0.307 0.750
Sm: 0.666 0.693 0.250
Sm: 0.693 0.027 0.750
Sm: 0.973 0.666 0.750
Er: 0.333 0.667 0.750
Er: 0.667 0.333 0.250
Sn: 0.011 0.349 0.750
Sn: 0.338 0.989 0.750
Sn: 0.349 0.338 0.250
Sn: 0.651 0.662 0.750
Sn: 0.662 0.011 0.250
Sn: 0.989 0.651 0.250